(1)
Ta2AgTeOs: relaxed, PBE.

Values from the calculation:
volume	23.246	A^3/atom
uncorrected energy	-6.076	eV/atom
magnetic moment	0.0	μB per formula unit
uncorrected formation energy	2.11	eV per atom

a b c (Å): 4.876 4.876 4.889
angles (deg): 90.00 90.00 90.00
Space group P4/mmm (No. 123)
Inequivalent atoms, fractional coordinates:
Ta  0.000  0.500  0.000 x2
Ag  0.000  0.000  0.000 x1
Te  0.500  0.500  0.500 x1
Os  0.000  0.000  0.500 x1



(2)
Ni2HgRhN: relaxed, PBE.

Values from the calculation:
volume	12.568	A^3/atom
uncorrected energy	-5.411	eV/atom
magnetic moment	0.0	μB per formula unit
uncorrected formation energy	0.10	eV per atom

a b c (Å): 3.917 3.917 4.096
angles (deg): 90.00 90.00 90.00
Space group P4/mmm (No. 123)
Inequivalent atoms, fractional coordinates:
Ni  0.000  0.500  0.000 x2
Hg  0.000  0.000  0.500 x1
Rh  0.500  0.500  0.500 x1
N  0.500  0.500  0.000 x1



(3)
LaTi2Cu2: relaxed, PBE.

Values from the calculation:
volume	17.715	A^3/atom
ΔE_f	0.104	eV/atom
uncorrected energy	-5.678	eV/atom
magnetic moment	0.0	μB per formula unit

a b c (Å): 7.868 7.868 2.862
angles (deg): 90.00 90.00 90.00
Space group P4/mbm (No. 127)
Inequivalent atoms, fractional coordinates:
La  0.000  0.000  0.000 x2
Ti  0.131  0.369  0.000 x4
Cu  0.163  0.663  0.500 x4



(4)
Li3U3TiN8: relaxed, PBE.

Values from the calculation:
volume	13.077	A^3/atom
uncorrected energy	-8.670	eV/atom
magnetic moment	1.1	μB per formula unit
uncorrected formation energy	-1.06	eV per atom

a b c (Å): 6.7307 6.7307 14.9998
angles (deg): 90.00 90.00 120.00
Space group R-3m (No. 166, hexagonal axes)
Inequivalent atoms, fractional coordinates:
Li  0.0000  0.5000  0.0000 x9
U  0.0000  0.5000  0.5000 x9
Ti  0.0000  0.0000  0.5000 x3
N  0.0000  0.0000  0.2394 x6
N  0.0082  0.5041  0.2323 x18



(5)
ZrOs2Ru: relaxed, PBE.

Values from the calculation:
volume	15.731	A^3/atom
ΔE_f	0.011	eV/atom
uncorrected energy	-10.060	eV/atom
magnetic moment	0.0	μB per formula unit

a b c (Å): 4.765 2.865 4.846
angles (deg): 90.00 107.98 90.00
Space group P2/m (No. 10)
Inequivalent atoms, fractional coordinates:
Zr  0.000  0.000  0.000 x1
Os  0.000  0.500  0.500 x1
Os  0.500  0.000  0.500 x1
Ru  0.500  0.500  0.000 x1



(6)
LiErMg4: relaxed, PBE.

Values from the calculation:
volume	23.115	A^3/atom
ΔE_f	-0.054	eV/atom
uncorrected energy	-2.196	eV/atom
magnetic moment	0.1	μB per formula unit

a b c (Å): 3.418 3.418 11.874
angles (deg): 90.00 90.00 90.00
Space group P4/mmm (No. 123)
Inequivalent atoms, fractional coordinates:
Li  0.000  0.000  0.000 x1
Er  0.500  0.500  0.500 x1
Mg  0.000  0.000  0.307 x2
Mg  0.500  0.500  0.142 x2



(7)
Pm2AlZn4Hg3: relaxed, PBE.

Values from the calculation:
volume	21.447	A^3/atom
ΔE_f	-0.280	eV/atom
uncorrected energy	-2.205	eV/atom
magnetic moment	0.0	μB per formula unit

a b c (Å): 4.293 4.293 11.639
angles (deg): 90.00 90.00 90.00
Space group P-4m2 (No. 115)
Inequivalent atoms, fractional coordinates:
Pm  0.000  0.500  0.236 x2
Al  0.500  0.500  0.000 x1
Zn  0.000  0.000  0.500 x1
Zn  0.000  0.500  0.866 x2
Zn  0.500  0.500  0.500 x1
Hg  0.000  0.000  0.000 x1
Hg  0.000  0.500  0.643 x2



(8)
Pm2DyAl12Fe3: relaxed, PBE.

Values from the calculation:
volume	21.808	A^3/atom
ΔE_f	0.135	eV/atom
uncorrected energy	-4.554	eV/atom
magnetic moment	0.0	μB per formula unit

a b c (Å): 8.5428 8.5428 18.6328
angles (deg): 90.00 90.00 120.00
Space group R-3m (No. 166, hexagonal axes)
Inequivalent atoms, fractional coordinates:
Pm  0.0000  0.0000  0.0830 x6
Dy  0.0000  0.0000  0.5000 x3
Al  0.0901  0.5451  0.8824 x18
Al  0.0954  0.5477  0.3205 x18
Fe  0.0000  0.5000  0.0000 x9



(9)
Ba2In6AgHg: relaxed, PBE.

Values from the calculation:
volume	32.005	A^3/atom
ΔE_f	-0.153	eV/atom
uncorrected energy	-2.495	eV/atom
magnetic moment	0.0	μB per formula unit

a b c (Å): 7.3508 7.3508 41.0369
angles (deg): 90.00 90.00 120.00
Space group R-3m (No. 166, hexagonal axes)
Inequivalent atoms, fractional coordinates:
Ba  0.0000  0.0000  0.1358 x6
Ba  0.0000  0.0000  0.3068 x6
In  0.0522  0.5261  0.8784 x18
In  0.0564  0.5282  0.7210 x18
Ag  0.0000  0.0000  0.0000 x3
Ag  0.0000  0.0000  0.5000 x3
Hg  0.0000  0.0000  0.4183 x6



(10)
AgAsPtO6: relaxed, PBE.

Values from the calculation:
volume	12.063	A^3/atom
uncorrected energy	-5.410	eV/atom
magnetic moment	0.0	μB per formula unit
uncorrected formation energy	-0.60	eV per atom

a b c (Å): 5.1191 5.1191 9.5675
angles (deg): 90.00 90.00 120.00
Space group P-31c (No. 163)
Inequivalent atoms, fractional coordinates:
Ag  0.0000  0.0000  0.0000 x2
As  0.3333  0.6667  0.2500 x2
Pt  0.3333  0.6667  0.7500 x2
O  0.0161  0.3817  0.1381 x12



(11)
Ba2YSc: relaxed, PBE.

Values from the calculation:
volume	42.640	A^3/atom
ΔE_f	0.190	eV/atom
uncorrected energy	-3.970	eV/atom
magnetic moment	0.0	μB per formula unit

a b c (Å): 4.104 4.104 10.128
angles (deg): 90.00 90.00 90.00
Space group P4mm (No. 99)
Inequivalent atoms, fractional coordinates:
Ba  0.000  0.000  0.000 x1
Ba  0.500  0.500  0.340 x1
Y  0.500  0.500  0.732 x1
Sc  0.000  0.000  0.574 x1



(12)
POsAu: relaxed, PBE.

Values from the calculation:
volume	17.492	A^3/atom
ΔE_f	0.422	eV/atom
uncorrected energy	-6.217	eV/atom
magnetic moment	0.0	μB per formula unit

a b c (Å): 2.956 4.838 14.677
angles (deg): 90.00 90.00 90.00
Space group Fmm2 (No. 42)
Inequivalent atoms, fractional coordinates:
P  0.000  0.000  0.000 x4
Os  0.000  0.000  0.617 x4
Au  0.000  0.000  0.287 x4



Summary of ρ in g/cm³
11.3; 11.5; 6.8; 7.6; 15.1; 3.2; 9.1; 4.0; 6.6; 7.2; 4.0; 13.2
(order as listed above)